1.
Density functional theory data (GGA-PBE) for a relaxed V2NiPd crystal.

```
data_V2NiPd
_cell_length_a 3.671
_cell_length_b 3.671
_cell_length_c 3.888
_cell_angle_alpha 90.00
_cell_angle_beta 90.00
_cell_angle_gamma 90.00
_symmetry_space_group_name_H-M 'P 4/m m m'
_symmetry_Int_Tables_number 123
_symmetry_space_group_name_Hall '-P 4 2'
loop_
_atom_site_label
_atom_site_type_symbol
_atom_site_fract_x
_atom_site_fract_y
_atom_site_fract_z
V1 V 0.000 0.500 0.000
Ni1 Ni 0.000 0.000 0.500
Pd1 Pd 0.500 0.500 0.500
```

Summary:
N(E_F): 4.4 states/eV per cell
energy of formation from the pure elements: -0.7 eV per formula unit
final energy: -7.47 eV per atom
offset from the most stable computed form: 0 meV/atom


2.
Density functional theory data (GGA-PBE) for a relaxed V4Ni12Pd crystal.

```
data_V4Ni12Pd
_cell_length_a 7.476
_cell_length_b 7.476
_cell_length_c 7.476
_cell_angle_alpha 90.00
_cell_angle_beta 90.00
_cell_angle_gamma 90.00
_symmetry_space_group_name_H-M 'I m -3 m'
_symmetry_Int_Tables_number 229
_symmetry_space_group_name_Hall '-I 4 2 3'
loop_
_atom_site_label
_atom_site_type_symbol
_atom_site_fract_x
_atom_site_fract_y
_atom_site_fract_z
V1 V 0.250 0.250 0.250
Ni1 Ni 0.000 0.000 0.312
Ni2 Ni 0.000 0.250 0.500
Pd1 Pd 0.000 0.000 0.000
```

Summary:
N(E_F): 46.3 states/eV per cell
energy of formation from the pure elements: 2.2 eV per formula unit
final energy: -6.40 eV per atom


3.
Density functional theory data (GGA-PBE) for a relaxed VNiPd2 crystal.

```
data_VNiPd2
_cell_length_a 2.7262
_cell_length_b 2.7262
_cell_length_c 25.8750
_cell_angle_alpha 90.00
_cell_angle_beta 90.00
_cell_angle_gamma 120.00
_symmetry_space_group_name_H-M 'R 3 m'
_symmetry_Int_Tables_number 160
_symmetry_space_group_name_Hall 'R 3 -2"'
loop_
_atom_site_label
_atom_site_type_symbol
_atom_site_fract_x
_atom_site_fract_y
_atom_site_fract_z
V1 V 0.0000 0.0000 0.0000
Ni1 Ni 0.0000 0.0000 0.8337
Pd1 Pd 0.0000 0.0000 0.4165
Pd2 Pd 0.0000 0.0000 0.5839
```

Summary:
N(E_F): 16.9 states/eV per cell
energy of formation from the pure elements: -0.2 eV per formula unit
final energy: -6.36 eV per atom
offset from the most stable computed form: 170 meV/atom


4.
Density functional theory data (GGA-PBE) for a relaxed VNi2Pd crystal.

```
data_VNi2Pd
_cell_length_a 6.540
_cell_length_b 6.540
_cell_length_c 5.088
_cell_angle_alpha 90.00
_cell_angle_beta 90.00
_cell_angle_gamma 90.00
_symmetry_space_group_name_H-M 'I -4 2 d'
_symmetry_Int_Tables_number 122
_symmetry_space_group_name_Hall 'I -4 2bw'
loop_
_atom_site_label
_atom_site_type_symbol
_atom_site_fract_x
_atom_site_fract_y
_atom_site_fract_z
V1 V 0.000 0.000 0.000
Ni1 Ni 0.223 0.250 0.125
Pd1 Pd 0.000 0.000 0.500
```

Summary:
N(E_F): 16.9 states/eV per cell
energy of formation from the pure elements: 0.9 eV per formula unit
final energy: -6.23 eV per atom
offset from the most stable computed form: 428 meV/atom


5.
Density functional theory data (GGA-PBE) for a relaxed V2Ni5Pd2 crystal.

```
data_V2Ni5Pd2
_cell_length_a 4.442
_cell_length_b 4.522
_cell_length_c 5.839
_cell_angle_alpha 83.41
_cell_angle_beta 74.96
_cell_angle_gamma 79.67
_symmetry_space_group_name_H-M 'P -1'
_symmetry_Int_Tables_number 2
loop_
_symmetry_equiv_pos_as_xyz
'x,y,z'
'-x,-y,-z'
loop_
_atom_site_label
_atom_site_type_symbol
_atom_site_fract_x
_atom_site_fract_y
_atom_site_fract_z
V1 V 0.070 0.116 0.270
Ni1 Ni 0.272 0.568 0.395
Ni2 Ni 0.399 0.774 0.937
Ni3 Ni 0.500 0.000 0.500
Pd1 Pd 0.170 0.323 0.827
```

Summary:
N(E_F): 11.3 states/eV per cell
energy of formation from the pure elements: -1.1 eV per formula unit
final energy: -6.52 eV per atom


6.
Density functional theory data (GGA-PBE) for a relaxed V2NiPd5 crystal.

```
data_V2NiPd5
_cell_length_a 2.807
_cell_length_b 9.450
_cell_length_c 17.369
_cell_angle_alpha 90.00
_cell_angle_beta 90.00
_cell_angle_gamma 90.00
_symmetry_space_group_name_H-M 'C m c m'
_symmetry_Int_Tables_number 63
_symmetry_space_group_name_Hall '-C 2c 2'
loop_
_atom_site_label
_atom_site_type_symbol
_atom_site_fract_x
_atom_site_fract_y
_atom_site_fract_z
V1 V 0.000 0.188 0.152
Ni1 Ni 0.000 0.197 0.750
Pd1 Pd 0.000 0.082 0.611
Pd2 Pd 0.000 0.364 0.532
Pd3 Pd 0.000 0.468 0.750
```

Summary:
N(E_F): 29.6 states/eV per cell
energy of formation from the pure elements: -1.5 eV per formula unit
final energy: -6.44 eV per atom


7.
Density functional theory data (GGA-PBE) for a relaxed VNiPd4 crystal.

```
data_VNiPd4
_cell_length_a 4.119
_cell_length_b 4.119
_cell_length_c 5.781
_cell_angle_alpha 90.00
_cell_angle_beta 90.00
_cell_angle_gamma 90.00
_symmetry_space_group_name_H-M 'P 4/m m m'
_symmetry_Int_Tables_number 123
_symmetry_space_group_name_Hall '-P 4 2'
loop_
_atom_site_label
_atom_site_type_symbol
_atom_site_fract_x
_atom_site_fract_y
_atom_site_fract_z
V1 V 0.000 0.000 0.000
Ni1 Ni 0.500 0.500 0.500
Pd1 Pd 0.000 0.500 0.250
```

Summary:
N(E_F): 6.2 states/eV per cell
energy of formation from the pure elements: 0.9 eV per formula unit
final energy: -5.79 eV per atom
offset from the most stable computed form: 290 meV/atom


8.
Density functional theory data (GGA-PBE) for a relaxed VNiPd6 crystal.

```
data_VNiPd6
_cell_length_a 5.493
_cell_length_b 5.493
_cell_length_c 3.867
_cell_angle_alpha 90.00
_cell_angle_beta 90.00
_cell_angle_gamma 90.00
_symmetry_space_group_name_H-M 'P 4/m m m'
_symmetry_Int_Tables_number 123
_symmetry_space_group_name_Hall '-P 4 2'
loop_
_atom_site_label
_atom_site_type_symbol
_atom_site_fract_x
_atom_site_fract_y
_atom_site_fract_z
V1 V 0.000 0.000 0.000
Ni1 Ni 0.500 0.500 0.000
Pd1 Pd 0.000 0.500 0.000
Pd2 Pd 0.248 0.248 0.500
```

Summary:
N(E_F): 12.4 states/eV per cell
energy of formation from the pure elements: -1.0 eV per formula unit
final energy: -5.88 eV per atom
offset from the most stable computed form: 0 meV/atom


9.
Density functional theory data (GGA-PBE) for a relaxed VNi2Pd crystal.

```
data_VNi2Pd
_cell_length_a 5.864
_cell_length_b 5.864
_cell_length_c 5.864
_cell_angle_alpha 90.00
_cell_angle_beta 90.00
_cell_angle_gamma 90.00
_symmetry_space_group_name_H-M 'F m -3 m'
_symmetry_Int_Tables_number 225
_symmetry_space_group_name_Hall '-F 4 2 3'
loop_
_atom_site_label
_atom_site_type_symbol
_atom_site_fract_x
_atom_site_fract_y
_atom_site_fract_z
V1 V 0.000 0.000 0.000
Ni1 Ni 0.250 0.250 0.250
Pd1 Pd 0.000 0.000 0.500
```

Summary:
N(E_F): 20.6 states/eV per cell
energy of formation from the pure elements: -0.3 eV per formula unit
final energy: -6.54 eV per atom
offset from the most stable computed form: 118 meV/atom


10.
Density functional theory data (GGA-PBE) for a relaxed VNi2Pd crystal.

```
data_VNi2Pd
_cell_length_a 3.676
_cell_length_b 3.676
_cell_length_c 7.380
_cell_angle_alpha 90.00
_cell_angle_beta 90.00
_cell_angle_gamma 90.00
_symmetry_space_group_name_H-M 'I 4/m m m'
_symmetry_Int_Tables_number 139
_symmetry_space_group_name_Hall '-I 4 2'
loop_
_atom_site_label
_atom_site_type_symbol
_atom_site_fract_x
_atom_site_fract_y
_atom_site_fract_z
V1 V 0.000 0.000 0.000
Ni1 Ni 0.000 0.500 0.250
Pd1 Pd 0.000 0.000 0.500
```

Summary:
N(E_F): 6.2 states/eV per cell
energy of formation from the pure elements: -0.8 eV per formula unit
final energy: -6.66 eV per atom
offset from the most stable computed form: 0 meV/atom


11.
Density functional theory data (GGA-PBE) for a relaxed V6NiPd8 crystal.

```
data_V6NiPd8
_cell_length_a 9.7379
_cell_length_b 9.7379
_cell_length_c 2.7486
_cell_angle_alpha 90.00
_cell_angle_beta 90.00
_cell_angle_gamma 120.00
_symmetry_space_group_name_H-M 'P -3'
_symmetry_Int_Tables_number 147
loop_
_symmetry_equiv_pos_as_xyz
'x,y,z'
'-x,-y,-z'
'-y,x-y,z'
'y,-x+y,-z'
'-x+y,-x,z'
'x-y,x,-z'
loop_
_atom_site_label
_atom_site_type_symbol
_atom_site_fract_x
_atom_site_fract_y
_atom_site_fract_z
V1 V 0.0878 0.6137 0.2424
Ni1 Ni 0.0000 0.0000 0.0000
Pd1 Pd 0.0799 0.2922 0.2621
Pd2 Pd 0.3333 0.6667 0.7439
```

Summary:
N(E_F): 16.1 states/eV per cell
energy of formation from the pure elements: 0.3 eV per formula unit
final energy: -6.78 eV per atom


12.
Density functional theory data (GGA-PBE) for a relaxed V3NiPd crystal.

```
data_V3NiPd
_cell_length_a 4.646
_cell_length_b 4.646
_cell_length_c 4.646
_cell_angle_alpha 90.00
_cell_angle_beta 90.00
_cell_angle_gamma 90.00
_symmetry_space_group_name_H-M 'P m -3 m'
_symmetry_Int_Tables_number 221
_symmetry_space_group_name_Hall '-P 4 2 3'
loop_
_atom_site_label
_atom_site_type_symbol
_atom_site_fract_x
_atom_site_fract_y
_atom_site_fract_z
V1 V 0.000 0.000 0.500
Ni1 Ni 0.500 0.500 0.500
Pd1 Pd 0.000 0.000 0.000
```

Summary:
N(E_F): 7.5 states/eV per cell
energy of formation from the pure elements: 7.5 eV per formula unit
final energy: -6.16 eV per atom
offset from the most stable computed form: 695 meV/atom


Copy entry 7 word for word.
Density functional theory data (GGA-PBE) for a relaxed VNiPd4 crystal.

```
data_VNiPd4
_cell_length_a 4.119
_cell_length_b 4.119
_cell_length_c 5.781
_cell_angle_alpha 90.00
_cell_angle_beta 90.00
_cell_angle_gamma 90.00
_symmetry_space_group_name_H-M 'P 4/m m m'
_symmetry_Int_Tables_number 123
_symmetry_space_group_name_Hall '-P 4 2'
loop_
_atom_site_label
_atom_site_type_symbol
_atom_site_fract_x
_atom_site_fract_y
_atom_site_fract_z
V1 V 0.000 0.000 0.000
Ni1 Ni 0.500 0.500 0.500
Pd1 Pd 0.000 0.500 0.250
```

Summary:
N(E_F): 6.2 states/eV per cell
energy of formation from the pure elements: 0.9 eV per formula unit
final energy: -5.79 eV per atom
offset from the most stable computed form: 290 meV/atom